No. 1
The following is a meta-GGA SCAN calculation of a crystal of KSrHg2 relaxed with PBEsol, from Alexandria.

Cell lengths 4.3802, 4.3802, 26.3450 Å; angles 90.00, 90.00, 120.00 degrees
Space group R-3m (No. 166, hexagonal axes)
One atom of each set of equivalent atoms:
1 K 0.0000 0.0000 0.0000 [3 per cell]
2 Sr 0.0000 0.0000 0.5000 [3 per cell]
3 Hg 0.0000 0.0000 0.2442 [6 per cell]

Calculated values
Final energy   -3.09369 Ry per atom

No. 2
The following is a meta-GGA SCAN calculation of a crystal of Sc2ZnSb relaxed with PBEsol, from Alexandria.

Cell lengths 3.964, 4.010, 10.499 Å; angles 90.00, 90.00, 90.00 degrees
Space group Amm2 (No. 38)
One atom of each set of equivalent atoms:
1 Sc 0.000 0.000 0.000 [2 per cell]
2 Sc 0.500 0.000 0.285 [2 per cell]
3 Zn 0.500 0.000 0.544 [2 per cell]
4 Sb 0.000 0.000 0.721 [2 per cell]

Calculated values
Offset from the most stable computed form   0 kJ/mol of formula units
Formation energy from raw total energies   -68 kJ per mole of atoms
Final energy   -1.50823 Ry per atom

No. 3
The following is a meta-GGA SCAN calculation of a crystal of Ga3CuCl relaxed with PBEsol, from Alexandria.

Cell lengths 5.116, 5.116, 5.116 Å; angles 90.00, 90.00, 90.00 degrees
Space group Pm-3m (No. 221)
One atom of each set of equivalent atoms:
1 Ga 0.000 0.000 0.500 [3 per cell]
2 Cu 0.500 0.500 0.500 [1 per cell]
3 Cl 0.000 0.000 0.000 [1 per cell]

Calculated values
Formation energy from raw total energies   75 kJ per mole of atoms
Final energy   -1.00447 Ry per atom

No. 4
The following is a meta-GGA SCAN calculation of a crystal of GeBi3F relaxed with PBEsol, from Alexandria.

Cell lengths 5.005, 5.005, 5.005 Å; angles 90.00, 90.00, 90.00 degrees
Space group Pm-3m (No. 221)
One atom of each set of equivalent atoms:
1 Ge 0.000 0.000 0.000 [1 per cell]
2 Bi 0.000 0.500 0.500 [3 per cell]
3 F 0.500 0.500 0.500 [1 per cell]

Calculated values
Formation energy from raw total energies   0 kJ per mole of atoms
Final energy   -3.79803 Ry per atom

No. 5
The following is a meta-GGA SCAN calculation of a crystal of Cr2PRh relaxed with PBEsol, from Alexandria.

Cell lengths 5.742, 5.742, 5.742 Å; angles 90.00, 90.00, 90.00 degrees
Space group F-43m (No. 216)
One atom of each set of equivalent atoms:
1 Cr 0.000 0.000 0.000 [4 per cell]
2 Cr 0.250 0.250 0.250 [4 per cell]
3 P 0.000 0.000 0.500 [4 per cell]
4 Rh 0.250 0.250 0.750 [4 per cell]

Calculated values
Final energy   -1.50682 Ry per atom

No. 6
The following is a meta-GGA SCAN calculation of a crystal of La2FeAuC relaxed with PBEsol, from Alexandria.

Cell lengths 5.270, 5.270, 3.647 Å; angles 90.00, 90.00, 90.00 degrees
Space group P4/mmm (No. 123)
One atom of each set of equivalent atoms:
1 La 0.000 0.500 0.000 [2 per cell]
2 Fe 0.000 0.000 0.500 [1 per cell]
3 Au 0.500 0.500 0.500 [1 per cell]
4 C 0.000 0.000 0.000 [1 per cell]

Calculated values
Final energy   -2.73297 Ry per atom

No. 7
The following is a meta-GGA SCAN calculation of a crystal of MnNi2Mo relaxed with PBEsol, from Alexandria.

Cell lengths 2.554, 3.696, 4.993 Å; angles 90.00, 90.00, 90.00 degrees
Space group Pmmm (No. 47)
One atom of each set of equivalent atoms:
1 Mn 0.000 0.000 0.000 [1 per cell]
2 Ni 0.500 0.500 0.244 [2 per cell]
3 Mo 0.000 0.000 0.500 [1 per cell]

Calculated values
Offset from the most stable computed form   6 kJ/mol of formula units
Final energy   -1.57477 Ry per atom

No. 8
The following is a meta-GGA SCAN calculation of a crystal of NaMgNb2Se relaxed with PBEsol, from Alexandria.

Cell lengths 4.793, 4.793, 5.048 Å; angles 90.00, 90.00, 90.00 degrees
Space group P4/mmm (No. 123)
One atom of each set of equivalent atoms:
1 Na 0.000 0.000 0.000 [1 per cell]
2 Mg 0.500 0.500 0.000 [1 per cell]
3 Nb 0.000 0.500 0.500 [2 per cell]
4 Se 0.000 0.000 0.500 [1 per cell]

Calculated values
Formation energy from raw total energies   46 kJ per mole of atoms
Final energy   -1.36910 Ry per atom